## A
Compound: VAgN2F
Source: Alexandria via LeMat-Bulk
Functional: GGA+U
Structure: optimized geometry

abc: 4.0491 4.0491 4.2370
angles: 90.00 90.00 90.00
Space group P4/mmm (No. 123)
Inequivalent atoms, fractional coordinates:
V: 0.0000 0.0000 0.0000 x1
Ag: 0.5000 0.5000 0.5000 x1
N: 0.0000 0.5000 0.5000 x2
F: 0.5000 0.5000 0.0000 x1

---

## B
Compound: VAgN2F
Source: Alexandria via LeMat-Bulk
Functional: GGA+U
Structure: optimized geometry

abc: 3.8338 3.8338 4.0042
angles: 90.00 90.00 90.00
Space group P4/mmm (No. 123)
Inequivalent atoms, fractional coordinates:
V: 0.0000 0.0000 0.0000 x1
Ag: 0.5000 0.5000 0.5000 x1
N: 0.0000 0.5000 0.0000 x2
F: 0.0000 0.0000 0.5000 x1

---

## C
Compound: VAgN2F
Source: Alexandria via LeMat-Bulk
Functional: GGA+U
Structure: optimized geometry

abc: 3.6736 3.6736 5.9089
angles: 90.00 90.00 90.00
Space group P4/mmm (No. 123)
Inequivalent atoms, fractional coordinates:
V: 0.0000 0.0000 0.0000 x1
Ag: 0.0000 0.0000 0.5000 x1
N: 0.0000 0.5000 0.0000 x2
F: 0.5000 0.5000 0.5000 x1

---

Consider the structures shown above. The most stable of them is B.